Computed, not measured: crystalline NiAgOF2 at its relaxed geometry at the GGA+U level of DFT.

Values from the calculation:
SG: P4/mmm (123)
Theoretical density, g cm⁻³: 6.0
Energy above the lowest structure with this stoichiometry, meV per atom: 0
Fermi-level density of states, states/eV/f.u.: 3.22
Total DFT energy (no corrections), Ry/atom: -0.283

abc: 3.974 3.974 3.865
angles: 90.00 90.00 90.00
Fractional coordinates of all 5 atoms:
1 Ni 0.000 0.000 0.000
2 Ag 0.500 0.500 0.500
3 O 0.000 0.000 0.500
4 F 0.000 0.500 0.000
5 F 0.500 0.000 0.000